1.
Below is an optimized crystal structure of Ba6Zn2Ga, with properties calculated at the PBE-GGA level.

Properties
The spin magnetization comes out at 0.00 μB/atom. The density comes out at 4.31 Mg/m³. As for the space-group type: Fmmm. The calculation puts the formation energy at -1.66 eV per formula unit. The value obtained for the total energy is -18.77 eV per cell. Its energy above the most stable polymorph in this dataset is 0.00 eV/f.u.

Structure (POSCAR):
```
Ba6Zn2Ga
1.0
-4.660 -3.450 -1.145
1.147 -7.529 2.765
-5.937 0.573 7.180
Ba Zn Ga
6 2 1
Cartesian
-3.839 -6.681 5.250 Ba
-9.134 -4.691 5.547 Ba
-2.084 -2.763 1.555 Ba
-5.610 -3.725 3.550 Ba
-0.316 -5.715 3.253 Ba
-7.365 -7.643 7.245 Ba
-3.516 -5.973 1.803 Zn
-5.933 -4.433 6.997 Zn
-2.395 -3.478 4.973 Ga
```

---

2.
Below is an optimized crystal structure of BaZnGa6, with properties calculated at the PBE-GGA level.

Properties
The spin magnetization comes out at 0.00 μB/atom. The density comes out at 6.02 Mg/m³. As for the space-group type: P4/mmm. The calculation puts the formation energy at -2.37 eV per formula unit. The value obtained for the total energy is -23.73 eV per cell.

Structure (POSCAR):
```
BaZnGa6
1.0
4.651 0.000 0.000
0.000 4.651 0.000
0.000 0.000 7.921
Ga Zn Ba
6 1 1
Cartesian
0.000 2.325 2.623 Ga
0.000 2.325 5.297 Ga
2.325 2.325 1.299 Ga
2.325 2.325 6.622 Ga
2.325 0.000 2.623 Ga
2.325 0.000 5.297 Ga
0.000 0.000 3.960 Zn
0.000 0.000 0.000 Ba
```

---

3.
Below is an optimized crystal structure of Ba5Zn2Ga, with properties calculated at the PBE-GGA level.

Properties
The spin magnetization comes out at 0.00 μB/atom. The density comes out at 4.48 Mg/m³. As for the space-group type: I4/mcm. The calculation puts the formation energy at -1.29 eV per formula unit. The value obtained for the total energy is -32.96 eV per cell.

Structure (POSCAR):
```
Ba5Zn2Ga
1.0
-0.567 8.211 -1.918
-1.238 -1.982 -8.122
-8.195 -3.403 6.477
Ba Zn Ga
10 4 2
Cartesian
0.000 0.000 0.000 Ba
-6.857 0.716 -1.880 Ba
-6.309 2.738 1.940 Ba
-5.870 -1.119 3.919 Ba
-3.143 2.110 -1.682 Ba
-0.903 3.114 -5.020 Ba
-6.418 -3.141 0.099 Ba
-3.582 5.967 -3.661 Ba
-3.691 0.089 -5.503 Ba
-4.130 3.945 -7.481 Ba
-0.549 0.079 -3.409 Zn
-1.332 1.469 -8.026 Zn
-1.257 6.150 -6.630 Zn
-0.473 4.760 -2.013 Zn
-4.549 -0.144 0.729 Ga
-5.452 2.970 -4.291 Ga
```

---

4.
Below is an optimized crystal structure of Ba3ZnGa4, with properties calculated at the PBE-GGA level.

Properties
The spin magnetization comes out at 0.00 μB/atom. The density comes out at 4.73 Mg/m³. As for the space-group type: Immm. The calculation puts the formation energy at -2.19 eV per formula unit. The value obtained for the total energy is -21.34 eV per cell. Its energy above the most stable polymorph in this dataset is 0.74 eV/f.u.

Structure (POSCAR):
```
Ba3ZnGa4
1.0
5.518 0.000 0.000
0.000 5.269 0.000
-2.759 -2.635 9.125
Zn Ba Ga
1 3 4
Cartesian
2.759 0.000 0.000 Zn
2.759 2.635 5.386 Ba
0.000 0.000 3.739 Ba
0.000 2.635 0.000 Ba
2.759 1.352 2.167 Ga
0.000 -1.282 6.958 Ga
2.759 3.917 2.167 Ga
0.000 1.282 6.958 Ga
```

---

5.
Below is an optimized crystal structure of BaZnGa, with properties calculated at the PBE-GGA level.

Properties
The spin magnetization comes out at 0.00 μB/atom. The density comes out at 5.58 Mg/m³. As for the space-group type: I4mm. The calculation puts the formation energy at -0.37 eV per formula unit. The value obtained for the total energy is -6.59 eV per cell.

Structure (POSCAR):
```
BaZnGa
1.0
3.660 0.000 0.000
0.000 3.660 0.000
-1.830 -1.830 6.057
Ba Ga Zn
1 1 1
Cartesian
1.830 1.830 5.430 Ba
1.830 1.830 1.855 Ga
0.000 0.000 3.011 Zn
```

---

6.
Below is an optimized crystal structure of Ba3Zn3Ga2, with properties calculated at the PBE-GGA level.

Properties
The spin magnetization comes out at 0.00 μB/atom. The density comes out at 5.20 Mg/m³. As for the space-group type: Cmcm. The calculation puts the formation energy at -2.19 eV per formula unit. The value obtained for the total energy is -35.67 eV per cell.

Structure (POSCAR):
```
Ba3Zn3Ga2
1.0
-0.411 -1.675 4.185
0.281 -5.026 -4.432
16.648 -0.379 1.485
Zn Ba Ga
6 6 4
Cartesian
4.213 -4.045 -1.205 Zn
12.305 -3.035 2.443 Zn
7.599 -3.031 1.982 Zn
16.152 -4.214 -0.098 Zn
8.918 -4.049 -0.744 Zn
0.365 -2.866 1.336 Zn
3.977 -2.526 1.828 Ba
14.932 -1.109 1.024 Ba
10.060 -0.998 0.590 Ba
6.458 -6.081 0.649 Ba
1.586 -5.971 0.214 Ba
12.541 -4.554 -0.589 Ba
9.893 -4.333 1.687 Ga
1.767 -2.637 -0.882 Ga
14.751 -4.443 2.120 Ga
6.624 -2.747 -0.448 Ga
```

---

Number 4 is which compound?
Ba3ZnGa4